Record 1
DFT (PBE) results for crystalline Pr2Y3Ga2 at its relaxed geometry.

a = 4.2070 Å, b = 6.5254 Å, c = 8.6715 Å
α = 112.22°, β = 90.00°, γ = 108.81°
With the nearest neighbours (Å) after each atom.
Atoms (fractional coordinates):
Pr 0.8484 0.6968 0.1896  3 Ga 3.14-3.45
Pr 0.1516 0.3032 0.8104  3 Ga 3.14-3.45
Y 0.5000 0.0000 0.0000  4 Ga 3.02
Y 0.6228 0.2457 0.4413  3 Ga 3.06
Y 0.3772 0.7543 0.5587  3 Ga 3.06
Ga 0.8324 0.6647 0.7832  5 Y 3.02-3.06, 2 Pr 3.14
Ga 0.1676 0.3353 0.2168  5 Y 3.02-3.06, 2 Pr 3.14

The calculation puts the formation energy at -0.3209 eV per atom. The value obtained for the electronic total energy is -5.322 eV per atom. Its space-group type is C2/m (12).

=====

Record 2
DFT (PBE) results for crystalline NdCu4Ag at its relaxed geometry.

a = 5.1360 Å, b = 5.1360 Å, c = 5.1360 Å
α = 60.00°, β = 60.00°, γ = 60.00°
With the nearest neighbours (Å) after each atom.
Atoms (fractional coordinates):
Nd 0.0000 0.0000 0.0000  12 Cu 3.01, 4 Ag 3.15
Cu 0.6234 0.6234 0.1299  6 Cu 2.53-2.60
Cu 0.6234 0.1299 0.6234  6 Cu 2.53-2.60
Cu 0.1299 0.6234 0.6234  6 Cu 2.53-2.60
Cu 0.6234 0.6234 0.6234  6 Cu 2.53-2.60
Ag 0.2500 0.2500 0.2500  12 Cu 3.01, 4 Nd 3.15

The calculation puts the formation energy at -0.1799 eV per atom. The value obtained for the electronic total energy is -4.180 eV per atom. Its space-group type is F-43m (216).

=====

Record 3
DFT (PBE) results for crystalline ErPuTlRu at its relaxed geometry.

a = 5.0722 Å, b = 5.0722 Å, c = 5.0722 Å
α = 60.00°, β = 60.00°, γ = 60.00°
With the nearest neighbours (Å) after each atom.
Atoms (fractional coordinates):
Ru 0.7500 0.7500 0.7500  4 Er 3.11, 4 Pu 3.11
Tl 0.2500 0.2500 0.2500  4 Er 3.11, 4 Pu 3.11
Er 0.0000 0.0000 0.0000  4 Ru 3.11, 4 Tl 3.11
Pu 0.5000 0.5000 0.5000  4 Tl 3.11, 4 Ru 3.11

Its energy above the most stable polymorph in this dataset is 226 meV/atom. The calculation puts the formation energy at -0.0349 eV per atom. The value obtained for the electronic total energy is -7.669 eV per atom. Its space-group type is F-43m (216).

=====

Record 4
DFT (PBE) results for crystalline Tb2Tm7 at its relaxed geometry.

a = 3.5216 Å, b = 9.5045 Å, c = 9.5045 Å
α = 120.00°, β = 90.00°, γ = 90.00°
With the nearest neighbours (Å) after each atom.
Atoms (fractional coordinates):
Tb 0.0000 0.6667 0.3333  9 Tm 3.32-3.52, 2 Tb 3.52
Tb 0.0000 0.3333 0.6667  9 Tm 3.32-3.52, 2 Tb 3.52
Tm 0.5000 0.6402 0.0000  9 Tm 3.42-3.65, 4 Tb 3.52
Tm 0.5000 0.0000 0.6402  9 Tm 3.42-3.65, 4 Tb 3.52
Tm 0.5000 0.3598 0.3598  9 Tm 3.42-3.65, 4 Tb 3.52
Tm 0.0000 0.3042 0.0000  2 Tb 3.32, 10 Tm 3.39-3.65
Tm 0.0000 0.0000 0.3042  2 Tb 3.32, 10 Tm 3.39-3.65
Tm 0.0000 0.6958 0.6958  2 Tb 3.32, 10 Tm 3.39-3.65
Tm 0.5000 0.0000 0.0000  11 Tm 3.39-3.52

Its energy above the most stable polymorph in this dataset is 11 meV/atom. The calculation puts the formation energy at 0.0388 eV per atom. The value obtained for the electronic total energy is -4.468 eV per atom. Its space-group type is P-62m (189).

=====

Record 5
DFT (PBE) results for crystalline PmCrNiSb at its relaxed geometry.

a = 4.7988 Å, b = 4.7988 Å, c = 4.7988 Å
α = 60.00°, β = 60.00°, γ = 60.00°
With the nearest neighbours (Å) after each atom.
Atoms (fractional coordinates):
Sb 0.7500 0.7500 0.7500  4 Cr 2.94, 4 Ni 2.94
Ni 0.0000 0.0000 0.0000  4 Sb 2.94, 4 Pm 2.94
Cr 0.5000 0.5000 0.5000  4 Pm 2.94, 4 Sb 2.94
Pm 0.2500 0.2500 0.2500  4 Cr 2.94, 4 Ni 2.94

The value obtained for the electronic total energy is -6.113 eV per atom. The calculation puts the uncorrected formation energy at -43 meV/atom. Its space-group type is F-43m (216).

=====

Record 6
DFT (PBE) results for crystalline Hf2Ni17 at its relaxed geometry.

a = 6.1574 Å, b = 6.1574 Å, c = 6.1574 Å
α = 82.60°, β = 82.60°, γ = 82.60°
With the nearest neighbours (Å) after each atom.
Atoms (fractional coordinates):
Hf 0.3353 0.3353 0.3353  16 Ni 2.79-3.09
Hf 0.6647 0.6647 0.6647  16 Ni 2.79-3.09
Ni 0.6513 0.6513 0.1590  9 Ni 2.33-2.56
Ni 0.1590 0.6513 0.6513  9 Ni 2.33-2.56
Ni 0.8984 0.8984 0.8984  7 Ni 2.43-2.56
Ni 0.1016 0.1016 0.1016  7 Ni 2.43-2.56
Ni 0.0000 0.0000 0.5000  10 Ni 2.35-2.47
Ni 0.0000 0.5000 0.0000  10 Ni 2.35-2.47
Ni 0.5000 0.0000 0.0000  10 Ni 2.35-2.47
Ni 0.3044 0.6956 0.0000  8 Ni 2.35-2.49
Ni 0.6956 0.0000 0.3044  8 Ni 2.35-2.49
Ni 0.0000 0.3044 0.6956  8 Ni 2.35-2.49
Ni 0.6956 0.3044 0.0000  8 Ni 2.35-2.49
Ni 0.3044 0.0000 0.6956  8 Ni 2.35-2.49
Ni 0.0000 0.6956 0.3044  8 Ni 2.35-2.49
Ni 0.8410 0.3487 0.3487  9 Ni 2.33-2.56
Ni 0.3487 0.3487 0.8410  9 Ni 2.33-2.56
Ni 0.3487 0.8410 0.3487  9 Ni 2.33-2.56
Ni 0.6513 0.1590 0.6513  9 Ni 2.33-2.56

The calculation puts the formation energy at -0.1719 eV per atom. The value obtained for the electronic total energy is -6.392 eV per atom. Its space-group type is R-3m (166).

=====

Record 7
DFT (PBE) results for crystalline Pm3Sm2Tl2 at its relaxed geometry.

a = 4.8643 Å, b = 3.5708 Å, c = 12.6307 Å
α = 90.00°, β = 78.90°, γ = 90.00°
With the nearest neighbours (Å) after each atom.
Atoms (fractional coordinates):
Pm 0.8605 0.0000 0.2790  4 Tl 3.45, 3 Pm 3.46-3.57, 4 Sm 3.51
Pm 0.0000 0.0000 0.0000  4 Pm 3.46-3.57, 8 Tl 3.50
Pm 0.1395 0.0000 0.7210  4 Tl 3.45, 3 Pm 3.46-3.57, 4 Sm 3.51
Sm 0.7119 0.5000 0.5761  2 Sm 3.08
Sm 0.2881 0.5000 0.4239  2 Sm 3.08
Tl 0.5719 0.5000 0.8562  8 Pm 3.45-3.50, 1 Sm 3.47, 3 Tl 3.56-3.57
Tl 0.4281 0.5000 0.1438  8 Pm 3.45-3.50, 1 Sm 3.47, 3 Tl 3.56-3.57

Its energy above the most stable polymorph in this dataset is 99 meV/atom. The calculation puts the formation energy at -0.1079 eV per atom. The value obtained for the electronic total energy is -4.168 eV per atom. Its space-group type is Cmmm (65).

=====

Record 8
DFT (PBE) results for crystalline Li5CeCd4 at its relaxed geometry.

a = 3.1570 Å, b = 3.1570 Å, c = 19.5256 Å
α = 90.00°, β = 90.00°, γ = 90.00°
With the nearest neighbours (Å) after each atom.
Atoms (fractional coordinates):
Li 0.5000 0.5000 0.1297  4 Cd 2.82, 4 Li 3.16
Li 0.5000 0.5000 0.3137  8 Cd 2.89-2.91, 4 Li 3.16
Li 0.5000 0.5000 0.5000  8 Cd 2.87, 4 Li 3.16
Li 0.5000 0.5000 0.6863  8 Cd 2.89-2.91, 4 Li 3.16
Li 0.5000 0.5000 0.8703  4 Cd 2.82, 4 Li 3.16
Ce 0.0000 0.0000 0.0000  4 Ce 3.16, 8 Li 3.38
Cd 0.0000 0.0000 0.2183  8 Li 2.82-2.91, 4 Cd 3.16
Cd 0.0000 0.0000 0.4078  8 Li 2.87-2.89, 4 Cd 3.16
Cd 0.0000 0.0000 0.5922  8 Li 2.87-2.89, 4 Cd 3.16
Cd 0.0000 0.0000 0.7817  8 Li 2.82-2.91, 4 Cd 3.16

The calculation puts the formation energy at -0.1509 eV per atom. The value obtained for the electronic total energy is -2.067 eV per atom. Its space-group type is P4/mmm (123).